1.
A plane-wave DFT calculation with GGA-PBE was carried out for Tb6TmSc2 after structural relaxation.

Lattice parameters (Å, degrees): 6.5285 9.3120 9.3120 88.09 79.15 79.15
Fractional coordinates of all 18 atoms:
Tb: 0.5007 0.6168 0.3289
Tb: 0.9993 0.6711 0.3832
Tb: 0.4993 0.3832 0.6711
Tb: 0.0007 0.3289 0.6168
Tb: 0.7335 0.0499 0.4615
Tb: 0.7665 0.5385 0.9501
Tb: 0.2665 0.9501 0.5385
Tb: 0.2335 0.4615 0.0499
Tb: 0.3138 0.7915 0.9696
Tb: 0.1862 0.0304 0.2085
Tb: 0.6862 0.2085 0.0304
Tb: 0.8138 0.9696 0.7915
Tm: 0.2500 0.1388 0.8612
Tm: 0.7500 0.8612 0.1388
Sc: 0.1257 0.6555 0.7106
Sc: 0.3743 0.2894 0.3445
Sc: 0.8743 0.3445 0.2894
Sc: 0.6257 0.7106 0.6555

Computed properties:
The value obtained for the energy of formation is 0.14 eV per atom. The value obtained for the distance to the lowest polymorph of the same formula is 0.0616 eV per atom. Its volume is 30.337 A^3/atom.

=====

2.
A plane-wave DFT calculation with GGA-PBE was carried out for Tb6Tm4Sc after structural relaxation.

Lattice parameters (Å, degrees): 6.4768 6.4768 9.5990 109.72 109.72 90.00
Fractional coordinates of all 11 atoms:
Tb: 0.8583 0.4866 0.3449
Tb: 0.4866 0.8583 0.3449
Tb: 0.5134 0.5134 0.6551
Tb: 0.0000 0.5000 0.0000
Tb: 0.1417 0.1417 0.6551
Tb: 0.5000 0.0000 0.0000
Tm: 0.0485 0.6893 0.7379
Tm: 0.9515 0.9515 0.2621
Tm: 0.6893 0.0485 0.7379
Tm: 0.3107 0.3107 0.2621
Sc: 0.5000 0.5000 0.0000

Computed properties:
The value obtained for the energy of formation is 0.30 eV per atom. The value obtained for the distance to the lowest polymorph of the same formula is 0.1686 eV per atom. Its volume is 32.171 A^3/atom.

=====

3.
A plane-wave DFT calculation with GGA-PBE was carried out for Tb12Tm5Sc2 after structural relaxation.

Lattice parameters (Å, degrees): 9.0542 8.9793 8.4545 91.47 90.00 120.28
Fractional coordinates of all 19 atoms:
Tb: 0.9159 0.8319 0.1152
Tb: 0.0326 0.6986 0.7632
Tb: 0.6659 0.6986 0.7632
Tb: 0.1769 0.7451 0.3231
Tb: 0.5682 0.7451 0.3231
Tb: 0.4421 0.8843 0.6622
Tb: 0.5579 0.1157 0.3378
Tb: 0.8231 0.2549 0.6769
Tb: 0.4318 0.2549 0.6769
Tb: 0.9674 0.3014 0.2368
Tb: 0.3341 0.3014 0.2368
Tb: 0.0841 0.1681 0.8848
Tm: 0.2320 0.4640 0.5697
Tm: 0.3007 0.6013 0.9799
Tm: 0.0000 0.0000 0.5000
Tm: 0.6993 0.3987 0.0201
Tm: 0.7680 0.5360 0.4303
Sc: 0.6690 0.0000 0.0000
Sc: 0.3310 0.0000 0.0000

Computed properties:
The value obtained for the energy of formation is 0.12 eV per atom. Its volume is 31.228 A^3/atom.

=====

4.
A plane-wave DFT calculation with GGA-PBE was carried out for TbTm3Sc4 after structural relaxation.

Lattice parameters (Å, degrees): 3.7222 5.4305 10.8510 90.00 90.00 90.00
Fractional coordinates of all 8 atoms:
Sc: 0.0000 0.0000 0.5000
Sc: 0.0000 0.5000 0.7475
Sc: 0.0000 0.0000 0.0000
Sc: 0.0000 0.5000 0.2525
Tm: 0.5000 0.0000 0.2510
Tm: 0.5000 0.5000 0.5000
Tm: 0.5000 0.0000 0.7490
Tb: 0.5000 0.5000 0.0000

Computed properties:
The value obtained for the energy of formation is 0.10 eV per atom. The value obtained for the distance to the lowest polymorph of the same formula is 0.0775 eV per atom. Its volume is 27.417 A^3/atom.

=====

5.
A plane-wave DFT calculation with GGA-PBE was carried out for TbTm2Sc4 after structural relaxation.

Lattice parameters (Å, degrees): 5.2289 3.5715 10.6221 99.68 90.00 90.00
Fractional coordinates of all 7 atoms:
Tb: 0.0000 0.5000 0.0000
Tm: 0.5000 0.0737 0.1474
Tm: 0.5000 0.9263 0.8526
Sc: 0.5000 0.6969 0.3938
Sc: 0.0000 0.8206 0.6412
Sc: 0.5000 0.3031 0.6062
Sc: 0.0000 0.1794 0.3588

Computed properties:
The value obtained for the energy of formation is 0.17 eV per atom. The value obtained for the distance to the lowest polymorph of the same formula is 0.0000 eV per atom. Its volume is 27.935 A^3/atom.

=====

6.
A plane-wave DFT calculation with GGA-PBE was carried out for Tb4Tm10Sc after structural relaxation.

Lattice parameters (Å, degrees): 7.5483 8.7578 8.7578 79.30 64.47 64.47
Fractional coordinates of all 15 atoms:
Tb: 0.2328 0.9999 0.5345
Tb: 0.7673 0.4655 0.9999
Tb: 0.2327 0.5345 0.0001
Tb: 0.7672 0.0001 0.4655
Tm: 0.2500 0.5000 0.5000
Tm: 0.7149 0.2079 0.7920
Tm: 0.0772 0.2080 0.2079
Tm: 0.4931 0.7920 0.7921
Tm: 0.7148 0.7921 0.2080
Tm: 0.2851 0.7921 0.2080
Tm: 0.7500 0.5000 0.5000
Tm: 0.2852 0.2079 0.7920
Tm: 0.5069 0.2080 0.2079
Tm: 0.9228 0.7920 0.7921
Sc: 0.0000 0.0000 0.0000

Computed properties:
The value obtained for the energy of formation is 0.26 eV per atom. Its volume is 31.429 A^3/atom.

=====

7.
A plane-wave DFT calculation with GGA-PBE was carried out for Tb8Tm3Sc2 after structural relaxation.

Lattice parameters (Å, degrees): 6.6341 9.3161 9.3161 58.15 63.09 63.09
Fractional coordinates of all 13 atoms:
Tb: 0.0329 0.5925 0.5925
Tb: 0.9671 0.4075 0.4075
Tb: 0.0136 0.1890 0.1890
Tb: 0.9864 0.8109 0.8109
Tb: 0.5487 0.5606 0.1980
Tb: 0.5487 0.1980 0.5606
Tb: 0.4513 0.8020 0.4394
Tb: 0.4513 0.4394 0.8020
Tm: 0.5000 0.0000 0.0000
Tm: 0.0000 0.1698 0.8302
Tm: 0.0000 0.8302 0.1698
Sc: 0.5213 0.1992 0.1992
Sc: 0.4787 0.8008 0.8008

Computed properties:
The value obtained for the energy of formation is 0.23 eV per atom. Its volume is 32.182 A^3/atom.

=====

8.
A plane-wave DFT calculation with GGA-PBE was carried out for TbTm15Sc4 after structural relaxation.

Lattice parameters (Å, degrees): 4.8718 4.8718 24.3733 90.00 90.00 90.00
Fractional coordinates of all 20 atoms:
Tb: 0.0000 0.0000 0.0000
Tm: 0.5000 0.5000 0.0000
Tm: 0.5000 0.5000 0.2026
Tm: 0.5000 0.5000 0.4007
Tm: 0.5000 0.5000 0.5993
Tm: 0.5000 0.5000 0.7974
Tm: 0.5000 0.0000 0.1031
Tm: 0.5000 0.0000 0.3015
Tm: 0.5000 0.0000 0.5000
Tm: 0.5000 0.0000 0.6985
Tm: 0.5000 0.0000 0.8969
Tm: 0.0000 0.5000 0.1031
Tm: 0.0000 0.5000 0.3015
Tm: 0.0000 0.5000 0.5000
Tm: 0.0000 0.5000 0.6985
Tm: 0.0000 0.5000 0.8969
Sc: 0.0000 0.0000 0.2020
Sc: 0.0000 0.0000 0.4008
Sc: 0.0000 0.0000 0.5992
Sc: 0.0000 0.0000 0.7980

Computed properties:
The value obtained for the energy of formation is 0.04 eV per atom. Its volume is 28.924 A^3/atom.

=====

9.
A plane-wave DFT calculation with GGA-PBE was carried out for Tb3Tm8Sc2 after structural relaxation.

Lattice parameters (Å, degrees): 5.4955 7.5811 10.3921 111.39 90.02 90.00
Fractional coordinates of all 13 atoms:
Tb: 0.5000 0.0000 0.0000
Tb: 0.0000 0.2881 0.0000
Tb: 0.0000 0.7119 0.0000
Tm: 0.0006 0.6763 0.3526
Tm: 0.9994 0.3237 0.6474
Tm: 0.9999 0.1357 0.2713
Tm: 0.0001 0.8643 0.7287
Tm: 0.4997 0.5969 0.7737
Tm: 0.4997 0.1768 0.7737
Tm: 0.5003 0.8232 0.2263
Tm: 0.5003 0.4031 0.2263
Sc: 0.4994 0.2408 0.4816
Sc: 0.5006 0.7592 0.5184

Computed properties:
The value obtained for the energy of formation is 0.25 eV per atom. The value obtained for the distance to the lowest polymorph of the same formula is 0.0063 eV per atom. Its volume is 31.010 A^3/atom.

=====

10.
A plane-wave DFT calculation with GGA-PBE was carried out for Tb4Tm15Sc after structural relaxation.

Lattice parameters (Å, degrees): 4.9366 4.9366 24.6689 90.00 90.00 90.00
Fractional coordinates of all 20 atoms:
Tb: 0.0000 0.0000 0.1982
Tb: 0.0000 0.0000 0.3991
Tb: 0.0000 0.0000 0.6009
Tb: 0.0000 0.0000 0.8018
Tm: 0.5000 0.5000 0.0000
Tm: 0.5000 0.5000 0.1975
Tm: 0.5000 0.5000 0.3993
Tm: 0.5000 0.5000 0.6007
Tm: 0.5000 0.5000 0.8025
Tm: 0.5000 0.0000 0.0967
Tm: 0.5000 0.0000 0.2984
Tm: 0.5000 0.0000 0.5000
Tm: 0.5000 0.0000 0.7016
Tm: 0.5000 0.0000 0.9033
Tm: 0.0000 0.5000 0.0967
Tm: 0.0000 0.5000 0.2984
Tm: 0.0000 0.5000 0.5000
Tm: 0.0000 0.5000 0.7016
Tm: 0.0000 0.5000 0.9033
Sc: 0.0000 0.0000 0.0000

Computed properties:
The value obtained for the energy of formation is 0.03 eV per atom. Its volume is 30.059 A^3/atom.

=====

11.
A plane-wave DFT calculation with GGA-PBE was carried out for TbTm2Sc5 after structural relaxation.

Lattice parameters (Å, degrees): 6.8277 6.8276 6.3213 105.66 105.66 120.00
Fractional coordinates of all 8 atoms:
Tb: 0.8183 0.7376 0.0000
Tm: 0.2424 0.8230 0.5097
Tm: 0.7327 0.3132 0.4903
Sc: 0.2347 0.3212 0.5000
Sc: 0.3197 0.7320 0.0000
Sc: 0.8236 0.2359 0.0000
Sc: 0.7347 0.8212 0.5000
Sc: 0.3168 0.2390 0.0000

Computed properties:
The value obtained for the energy of formation is 0.02 eV per atom. The value obtained for the distance to the lowest polymorph of the same formula is 0.0000 eV per atom. Its volume is 26.848 A^3/atom.

=====

12.
A plane-wave DFT calculation with GGA-PBE was carried out for TbTm2Sc2 after structural relaxation.

Lattice parameters (Å, degrees): 5.9565 6.8703 13.8930 90.00 98.10 90.00
Fractional coordinates of all 20 atoms:
Tb: 0.3503 0.3769 0.3030
Tb: 0.6497 0.6231 0.6970
Tb: 0.8503 0.1231 0.3030
Tb: 0.1497 0.8769 0.6970
Tm: 0.6188 0.3759 0.0981
Tm: 0.1188 0.1241 0.0981
Tm: 0.8812 0.8759 0.9019
Tm: 0.3812 0.6241 0.9019
Tm: 0.8545 0.6270 0.3025
Tm: 0.3545 0.8730 0.3025
Tm: 0.6455 0.1270 0.6975
Tm: 0.1455 0.3730 0.6975
Sc: 0.6152 0.8739 0.0995
Sc: 0.1152 0.6261 0.0995
Sc: 0.8848 0.3739 0.9005
Sc: 0.3848 0.1261 0.9005
Sc: 0.7500 0.3748 0.4999
Sc: 0.2500 0.1252 0.4999
Sc: 0.7500 0.8748 0.5001
Sc: 0.2500 0.6252 0.5001

Computed properties:
The value obtained for the energy of formation is 0.04 eV per atom. The value obtained for the distance to the lowest polymorph of the same formula is 0.0000 eV per atom. Its volume is 28.143 A^3/atom.

=====

13.
A plane-wave DFT calculation with GGA-PBE was carried out for TbTm7Sc4 after structural relaxation.

Lattice parameters (Å, degrees): 6.8905 5.9683 10.9183 79.50 50.90 90.07
Fractional coordinates of all 12 atoms:
Tb: 0.0000 0.0000 0.0000
Tm: 0.7427 0.5026 0.0036
Tm: 0.2573 0.4974 0.9964
Tm: 0.0838 0.2822 0.6609
Tm: 0.9162 0.7178 0.3391
Tm: 0.3368 0.7764 0.6632
Tm: 0.5000 0.0000 0.0000
Tm: 0.6632 0.2236 0.3368
Sc: 0.4072 0.7237 0.3381
Sc: 0.5928 0.2763 0.6619
Sc: 0.8397 0.7824 0.6603
Sc: 0.1603 0.2176 0.3397

Computed properties:
The value obtained for the energy of formation is 0.02 eV per atom. The value obtained for the distance to the lowest polymorph of the same formula is 0.0000 eV per atom. Its volume is 28.218 A^3/atom.

=====

14.
A plane-wave DFT calculation with GGA-PBE was carried out for Tb6TmSc after structural relaxation.

Lattice parameters (Å, degrees): 6.7150 6.4337 6.9211 103.81 59.94 91.95
Fractional coordinates of all 8 atoms:
Tb: 0.0937 0.7379 0.4877
Tb: 0.5656 0.7722 0.5316
Tb: 0.4344 0.2278 0.4684
Tb: 0.9063 0.2621 0.5123
Tb: 0.5572 0.7514 0.0034
Tb: 0.4428 0.2486 0.9966
Tm: 0.0000 0.5000 0.0000
Sc: 0.0000 0.0000 0.0000

Computed properties:
The value obtained for the energy of formation is 0.21 eV per atom. The value obtained for the distance to the lowest polymorph of the same formula is 0.1758 eV per atom. Its volume is 31.251 A^3/atom.

=====

15.
A plane-wave DFT calculation with GGA-PBE was carried out for Tb6Tm12Sc after structural relaxation.

Lattice parameters (Å, degrees): 8.4157 8.4157 8.4157 91.94 91.94 91.94
Fractional coordinates of all 19 atoms:
Tb: 0.7277 0.8761 0.2589
Tb: 0.7411 0.2723 0.1239
Tb: 0.1239 0.7411 0.2723
Tb: 0.2723 0.1239 0.7411
Tb: 0.2589 0.7277 0.8761
Tb: 0.8761 0.2589 0.7277
Tm: 0.7909 0.5261 0.4669
Tm: 0.4669 0.7909 0.5261
Tm: 0.5261 0.4669 0.7909
Tm: 0.2091 0.4739 0.5331
Tm: 0.5331 0.2091 0.4739
Tm: 0.4739 0.5331 0.2091
Tm: 0.0589 0.1430 0.3731
Tm: 0.8570 0.6269 0.9411
Tm: 0.6269 0.9411 0.8570
Tm: 0.9411 0.8570 0.6269
Tm: 0.1430 0.3731 0.0589
Tm: 0.3731 0.0589 0.1430
Sc: 0.0000 0.0000 0.0000

Computed properties:
The value obtained for the energy of formation is 0.18 eV per atom. The value obtained for the distance to the lowest polymorph of the same formula is 0.0000 eV per atom. Its volume is 31.314 A^3/atom.

=====

16.
A plane-wave DFT calculation with GGA-PBE was carried out for Tb12Tm2Sc after structural relaxation.

Lattice parameters (Å, degrees): 6.5127 6.5127 25.5129 98.67 98.67 113.88
Fractional coordinates of all 30 atoms:
Tb: 0.6736 0.6736 0.7994
Tb: 0.1736 0.1736 0.7994
Tb: 0.8311 0.8311 0.9376
Tb: 0.2420 0.7420 0.8704
Tb: 0.9585 0.9585 0.3305
Tb: 0.2580 0.7580 0.1296
Tb: 0.7011 0.2011 0.5770
Tb: 0.4585 0.4585 0.3305
Tb: 0.3311 0.3311 0.9376
Tb: 0.6689 0.6689 0.0624
Tb: 0.1794 0.1794 0.5551
Tb: 0.7989 0.2989 0.4230
Tb: 0.0415 0.0415 0.6695
Tb: 0.3206 0.3206 0.4449
Tb: 0.1689 0.1689 0.0624
Tb: 0.8206 0.8206 0.4449
Tb: 0.6794 0.6794 0.5551
Tb: 0.8264 0.8264 0.2006
Tb: 0.2011 0.7011 0.5770
Tb: 0.5415 0.5415 0.6695
Tb: 0.7420 0.2420 0.8704
Tb: 0.3264 0.3264 0.2006
Tb: 0.2989 0.7989 0.4230
Tb: 0.7580 0.2580 0.1296
Tm: 0.4061 0.9061 0.2772
Tm: 0.9061 0.4061 0.2772
Tm: 0.0939 0.5939 0.7228
Tm: 0.5939 0.0939 0.7228
Sc: 0.5000 0.0000 0.0000
Sc: 0.0000 0.5000 0.0000

Computed properties:
The value obtained for the energy of formation is 0.14 eV per atom. Its volume is 31.701 A^3/atom.

=====

17.
A plane-wave DFT calculation with GGA-PBE was carried out for Tb5Tm4Sc3 after structural relaxation.

Lattice parameters (Å, degrees): 5.6600 8.4681 9.2833 106.38 72.25 70.48
Fractional coordinates of all 12 atoms:
Tb: 0.6335 0.9432 0.7898
Tb: 0.5000 0.5000 0.5000
Tb: 0.2050 0.4700 0.1200
Tb: 0.7950 0.5300 0.8800
Tb: 0.3665 0.0568 0.2102
Tm: 0.8578 0.2227 0.0616
Tm: 0.1618 0.0541 0.6223
Tm: 0.8382 0.9459 0.3777
Tm: 0.1422 0.7773 0.9384
Sc: 0.5176 0.6943 0.2704
Sc: 0.0000 0.5000 0.5000
Sc: 0.4824 0.3057 0.7296

Computed properties:
The value obtained for the energy of formation is 0.22 eV per atom. Its volume is 30.087 A^3/atom.

=====

18.
A plane-wave DFT calculation with GGA-PBE was carried out for Tb6Tm4Sc after structural relaxation.

Lattice parameters (Å, degrees): 5.5924 5.5277 25.4215 90.00 90.00 120.39
Fractional coordinates of all 22 atoms:
Tb: 0.5000 0.0000 0.0000
Tb: 0.5000 0.0000 0.5000
Tb: 0.1504 0.3008 0.3173
Tb: 0.8496 0.6992 0.6827
Tb: 0.8496 0.6992 0.8173
Tb: 0.1504 0.3008 0.1827
Tb: 0.8188 0.6375 0.3945
Tb: 0.1812 0.3625 0.6055
Tb: 0.1812 0.3625 0.8945
Tb: 0.8188 0.6375 0.1055
Tb: 0.4838 0.9675 0.2500
Tb: 0.5162 0.0325 0.7500
Tm: 0.8395 0.6790 0.5437
Tm: 0.4826 0.9651 0.1221
Tm: 0.1605 0.3210 0.4563
Tm: 0.5174 0.0349 0.8779
Tm: 0.8395 0.6790 0.9563
Tm: 0.1605 0.3210 0.0437
Tm: 0.5174 0.0349 0.6221
Tm: 0.4826 0.9651 0.3779
Sc: 0.8182 0.6364 0.2500
Sc: 0.1818 0.3636 0.7500

Computed properties:
The value obtained for the energy of formation is 0.13 eV per atom. The value obtained for the distance to the lowest polymorph of the same formula is 0.0000 eV per atom. Its volume is 30.813 A^3/atom.